1.
Crystalline MgPaPd3 at its relaxed geometry, computed with PBE-GGA.

Cell: 6.5940 7.2959 7.8191 Å, 90.00 95.14 90.00°
Atoms (fractional coordinates):
Mg1 0.4015 0.6991 0.0657
Mg2 0.0985 0.1991 0.4343
Mg3 0.5985 0.3009 0.9343
Mg4 0.9015 0.8009 0.5657
Pa1 0.8871 0.5934 0.1940
Pa2 0.6129 0.0934 0.3060
Pa3 0.1129 0.4066 0.8060
Pa4 0.3871 0.9066 0.6940
Pd1 0.2032 0.5729 0.4967
Pd2 0.2968 0.0729 0.0033
Pd3 0.7968 0.4271 0.5033
Pd4 0.7032 0.9271 0.9967
Pd5 0.8627 0.1165 0.7241
Pd6 0.6373 0.6165 0.7759
Pd7 0.1373 0.8835 0.2759
Pd8 0.3627 0.3835 0.2241
Pd9 0.5429 0.7272 0.3984
Pd10 0.9571 0.2272 0.1016
Pd11 0.4571 0.2728 0.6016
Pd12 0.0429 0.7728 0.8984

Fermi-level density of states: 0.7363 states/eV/atom
total moment: 0.00 μB/f.u.
density: 10.19 Mg/m³
ΔH_f (0 K): -0.552 eV per atom
space-group type: P2_1/c, No. 14
energy: -5.886 eV per atom

2.
Crystalline Mg2PaPd3 at its relaxed geometry, computed with PBE-GGA.

Cell: 3.2054 3.2054 10.3844 Å, 90.00 90.00 90.00°
Atoms (fractional coordinates):
Mg1 0.5000 0.5000 0.8489
Mg2 0.5000 0.5000 0.1511
Pa1 0.5000 0.5000 0.5000
Pd1 0.0000 0.0000 0.0000
Pd2 0.0000 0.0000 0.6924
Pd3 0.0000 0.0000 0.3076

Fermi-level density of states: 0.5940 states/eV/atom
total moment: 0.00 μB/f.u.
density: 9.32 Mg/m³
ΔH_f (0 K): -0.640 eV per atom
space-group type: P4/mmm, No. 123
energy: -5.351 eV per atom

3.
Crystalline Mg4PaPd15 at its relaxed geometry, computed with PBE-GGA.

Cell: 4.0456 4.0456 19.6824 Å, 90.00 90.00 90.00°
Atoms (fractional coordinates):
Mg1 0.0000 0.0000 0.2067
Mg2 0.0000 0.0000 0.4013
Mg3 0.0000 0.0000 0.5987
Mg4 0.0000 0.0000 0.7933
Pa1 0.0000 0.0000 0.0000
Pd1 0.5000 0.5000 0.0000
Pd2 0.5000 0.5000 0.2048
Pd3 0.5000 0.5000 0.4030
Pd4 0.5000 0.5000 0.5970
Pd5 0.5000 0.5000 0.7952
Pd6 0.5000 0.0000 0.1031
Pd7 0.5000 0.0000 0.3042
Pd8 0.5000 0.0000 0.5000
Pd9 0.5000 0.0000 0.6958
Pd10 0.5000 0.0000 0.8969
Pd11 0.0000 0.5000 0.1031
Pd12 0.0000 0.5000 0.3042
Pd13 0.0000 0.5000 0.5000
Pd14 0.0000 0.5000 0.6958
Pd15 0.0000 0.5000 0.8969

Fermi-level density of states: 0.9237 states/eV/atom
total moment: 0.00 μB/f.u.
density: 9.92 Mg/m³
ΔH_f (0 K): -0.571 eV per atom
space-group type: P4/mmm, No. 123
energy: -5.259 eV per atom

4.
Crystalline Mg5PaPd6 at its relaxed geometry, computed with PBE-GGA.

Cell: 4.6722 6.4881 8.0114 Å, 66.11 72.44 90.00°
Atoms (fractional coordinates):
Mg1 0.6751 0.1737 0.6527
Mg2 0.3331 0.3331 0.3339
Mg3 0.0000 0.5000 0.0000
Mg4 0.6669 0.6669 0.6661
Mg5 0.3249 0.8263 0.3473
Pa1 0.0000 0.0000 0.0000
Pd1 0.8339 0.5902 0.3299
Pd2 0.8340 0.0798 0.3299
Pd3 0.5000 0.7404 0.9999
Pd4 0.5000 0.2596 0.0001
Pd5 0.1660 0.9202 0.6701
Pd6 0.1661 0.4098 0.6701

Fermi-level density of states: 0.4671 states/eV/atom
total moment: 0.00 μB/f.u.
density: 7.85 Mg/m³
ΔH_f (0 K): -0.669 eV per atom
space-group type: C2/m, No. 12
energy: -4.721 eV per atom